(1)
A plane-wave DFT calculation with PBE-GGA was carried out for crystalline MnCo2Pb2 at its relaxed geometry.

Computed properties:
Relative energy among the computed polymorphs: 0.000 eV per atom
Crystal system: tetragonal
Fermi-level density of states: 8.90 states/eV/cell
Energy of formation from the pure elements: 0.6395 eV per atom

abc: 7.5114 7.5114 3.1380
angles: 90.00 90.00 90.00
With the nearest neighbours (Å) after each atom.
Atoms (fractional coordinates):
Co 0.1355 0.6355 0.5000  6 Pb 2.68-2.73, 1 Co 2.88
Co 0.3645 0.1355 0.5000  6 Pb 2.68-2.73, 1 Co 2.88
Co 0.8645 0.3645 0.5000  6 Pb 2.68-2.73, 1 Co 2.88
Co 0.6355 0.8645 0.5000  6 Pb 2.68-2.73, 1 Co 2.88
Pb 0.3395 0.8395 0.0000  6 Co 2.68-2.73, 2 Mn 2.82
Pb 0.8395 0.6605 0.0000  6 Co 2.68-2.73, 2 Mn 2.82
Pb 0.1605 0.3395 0.0000  6 Co 2.68-2.73, 2 Mn 2.82
Pb 0.6605 0.1605 0.0000  6 Co 2.68-2.73, 2 Mn 2.82
Mn 0.5000 0.5000 0.0000  4 Pb 2.82, 2 Mn 3.14
Mn 0.0000 0.0000 0.0000  4 Pb 2.82, 2 Mn 3.14

(2)
A plane-wave DFT calculation with PBE-GGA was carried out for crystalline Be2Se at its relaxed geometry.

Computed properties:
Formation energy (no corrections): 0.352 eV per atom
Relative energy among the computed polymorphs: 0.642 eV per atom
Crystal system: monoclinic
Fermi-level density of states: 1.75 states/eV/cell

abc: 6.4262 6.4262 7.0248
angles: 57.10 57.10 22.09
With the nearest neighbours (Å) after each atom.
Atoms (fractional coordinates):
Se 0.9886 0.9886 0.7441  3 Be 2.32-2.42, 2 Se 2.46
Se 0.0114 0.0114 0.2559  3 Be 2.32-2.42, 2 Se 2.46
Be 0.6874 0.6874 0.9451  6 Be 2.30-2.46, 2 Se 2.42
Be 0.8066 0.8066 0.3371  6 Be 2.28-2.46, 1 Se 2.32
Be 0.1934 0.1934 0.6629  6 Be 2.28-2.46, 1 Se 2.32
Be 0.3126 0.3126 0.0549  6 Be 2.30-2.46, 2 Se 2.42

(3)
A plane-wave DFT calculation with PBE-GGA was carried out for crystalline NiSbHPt2 at its relaxed geometry.

Computed properties:
Relative energy among the computed polymorphs: 0.000 eV per atom
Crystal system: tetragonal
Fermi-level density of states: 5.88 states/eV/cell

abc: 4.0229 4.0229 4.1647
angles: 90.00 90.00 90.00
With the nearest neighbours (Å) after each atom.
Atoms (fractional coordinates):
Pt 0.5000 0.0000 0.0000  2 H 2.01
Pt 0.0000 0.5000 0.0000  2 H 2.01
Ni 0.0000 0.0000 0.5000  2 H 2.08
Sb 0.5000 0.5000 0.5000  4 Ni 2.84, 8 Pt 2.90
H 0.0000 0.0000 0.0000  4 Pt 2.01, 2 Ni 2.08

(4)
A plane-wave DFT calculation with PBE-GGA was carried out for crystalline Ca2RhO3 at its relaxed geometry.

Computed properties:
Formation energy (no corrections): -1.947 eV per atom
Crystal system: monoclinic
Fermi-level density of states: 4.81 states/eV/cell

abc: 5.8931 6.0741 6.0741
angles: 72.58 71.88 71.88
With the nearest neighbours (Å) after each atom.
Atoms (fractional coordinates):
Ca 0.6091 0.2202 0.4911  3 O 2.18-2.34
Ca 0.3909 0.7798 0.5089  3 O 2.18-2.34
Ca 0.8909 0.5089 0.7798  3 O 2.18-2.34
Ca 0.1091 0.4911 0.2202  3 O 2.18-2.34
O 0.2500 0.4860 0.5140  4 Ca 2.18-2.22
O 0.5946 0.8641 0.8196  2 Rh 2.03-2.09
O 0.4054 0.1359 0.1804  2 Rh 2.03-2.09
O 0.0946 0.8196 0.8641  2 Rh 2.03-2.09
O 0.9054 0.1804 0.1359  2 Rh 2.03-2.09
O 0.7500 0.5140 0.4860  4 Ca 2.18-2.22
Rh 0.2500 0.9964 0.0036  4 O 2.03-2.09
Rh 0.7500 0.0036 0.9964  4 O 2.03-2.09

(5)
A plane-wave DFT calculation with PBE-GGA was carried out for crystalline Ta7AsSe12 at its relaxed geometry.

Computed properties:
Formation energy (no corrections): -0.572 eV per atom
Crystal system: trigonal
Fermi-level density of states: 9.34 states/eV/cell

abc: 8.2542 8.2542 8.2542
angles: 108.38 108.38 108.38
With the nearest neighbours (Å) after each atom.
Atoms (fractional coordinates):
Se 0.1504 0.3795 0.4560  3 Ta 2.60-2.74
Se 0.9090 0.3078 0.7487  3 Ta 2.57-2.61
Se 0.3078 0.7487 0.9090  3 Ta 2.57-2.61
Se 0.2513 0.0910 0.6922  3 Ta 2.57-2.61
Se 0.7487 0.9090 0.3078  3 Ta 2.57-2.61
Se 0.3795 0.4560 0.1504  3 Ta 2.60-2.74
Se 0.4560 0.1504 0.3795  3 Ta 2.60-2.74
Se 0.8496 0.6205 0.5440  3 Ta 2.60-2.74
Se 0.5440 0.8496 0.6205  3 Ta 2.60-2.74
Se 0.6205 0.5440 0.8496  3 Ta 2.60-2.74
Se 0.0910 0.6922 0.2513  3 Ta 2.57-2.61
Se 0.6922 0.2513 0.0910  3 Ta 2.57-2.61
Ta 0.9126 0.9816 0.6667  1 As 2.55, 5 Se 2.57-2.74
Ta 0.3333 0.0874 0.0184  1 As 2.55, 5 Se 2.57-2.74
Ta 0.0184 0.3333 0.0874  1 As 2.55, 5 Se 2.57-2.74
Ta 0.6667 0.9126 0.9816  1 As 2.55, 5 Se 2.57-2.74
Ta 0.9816 0.6667 0.9126  1 As 2.55, 5 Se 2.57-2.74
Ta 0.5000 0.5000 0.5000  6 Se 2.60
Ta 0.0874 0.0184 0.3333  1 As 2.55, 5 Se 2.57-2.74
As 0.0000 0.0000 0.0000  6 Ta 2.55

(6)
A plane-wave DFT calculation with PBE-GGA was carried out for crystalline AcLa4Rh at its relaxed geometry.

Computed properties:
Crystal system: monoclinic
Fermi-level density of states: 15.77 states/eV/cell
Energy of formation from the pure elements: -0.2462 eV per atom

abc: 6.8564 9.4899 7.5184
angles: 105.74 90.00 111.19
With the nearest neighbours (Å) after each atom.
Atoms (fractional coordinates):
Rh 0.5000 0.5000 0.0000  6 La 2.85-2.91
Rh 0.0000 0.5000 0.5000  6 La 2.85-2.91
Ac 0.9420 0.0003 0.7501  8 La 3.78-3.88, 2 Ac 3.84
Ac 0.0580 0.9997 0.2499  8 La 3.78-3.88, 2 Ac 3.84
La 0.4906 0.8042 0.9985  1 Rh 2.91
La 0.3139 0.8043 0.4987  1 Rh 2.91
La 0.7181 0.6154 0.3651  2 Rh 2.85-2.86
La 0.5094 0.1958 0.0015  1 Rh 2.91
La 0.2819 0.3846 0.6349  2 Rh 2.85-2.86
La 0.1028 0.3848 0.1351  2 Rh 2.85
La 0.6861 0.1957 0.5013  1 Rh 2.91
La 0.8972 0.6152 0.8649  2 Rh 2.85